Computed, not measured: Tb2ErTl after structural relaxation at the GGA-PBE level of DFT.

Summary:
- Theoretical density: 10042 kg/m3
- E_form: -0.18 eV/atom
- V: 114.0 Å³ per cell
- Relative energy among the computed polymorphs: 0.0000 eV/atom

Unit cell a=4.867 b=4.840 c=4.840 alpha=90.00 beta=90.00 gamma=90.00
Last column: magnetic moment on the atom in μB.
Sites, in units of the cell vectors:
1 Tb 0.000 0.000 0.500  0.20
2 Tb 0.000 0.500 0.000  0.20
3 Er 0.500 0.500 0.500  0.23
4 Tl 0.500 0.000 0.000  -0.01